1.
! CdH4Ir (GGA-PBE, optimized geometry); values from VASP
! * uncorrected energy: -46.106 eV for the cell shown
! * N(E_F): 2.0 states/eV/cell
! * density: 7.73 g/cm3
! * SG: No. 63
! * spin magnetization: 0.000 μB per atom
! * crystal system: orthorhombic
&SYSTEM
  ibrav = 0, nat = 12, ntyp = 3
/
ATOMIC_SPECIES
Cd 112.41 Cd.upf
H 1.01 H.upf
Ir 192.22 Ir.upf
CELL_PARAMETERS angstrom
-3.254 -2.282 -3.721
-0.512 -2.119 -4.989
1.854 -7.591 3.033
ATOMIC_POSITIONS crystal
Cd 0.917 0.083 0.500
Cd 0.917 0.083 0.000
H 0.732 0.898 0.750
H 0.643 0.810 0.133
H 0.190 0.357 0.633
H 0.359 0.525 0.250
H 0.643 0.810 0.367
H 0.475 0.641 0.750
H 0.190 0.357 0.867
H 0.102 0.268 0.250
Ir 0.520 0.687 0.250
Ir 0.313 0.480 0.750

2.
! ScGeRu2 (GGA-PBE, optimized geometry); values from VASP
! * uncorrected energy: -63.004 eV for the cell shown
! * N(E_F): 6.5 states/eV/cell
! * density: 8.72 g/cm3
! * formation energy: -500.4 meV per atom
! * SG: No. 51
! * spin magnetization: 0.000 μB per atom
! * crystal system: orthorhombic
&SYSTEM
  ibrav = 0, nat = 8, ntyp = 3
/
ATOMIC_SPECIES
Sc 44.96 Sc.upf
Ru 101.07 Ru.upf
Ge 72.64 Ge.upf
CELL_PARAMETERS angstrom
-1.992 0.808 2.323
-0.538 -4.263 1.021
6.689 0.489 5.565
ATOMIC_POSITIONS crystal
Sc 0.500 0.250 0.364
Sc 0.500 0.750 0.636
Ru 0.000 0.250 0.100
Ru 0.000 0.750 0.365
Ru 0.000 0.250 0.635
Ru 0.000 0.750 0.900
Ge 0.500 0.250 0.864
Ge 0.500 0.750 0.136

3.
! MnTc2Os (GGA-PBE, optimized geometry); values from VASP
! * uncorrected energy: -40.854 eV for the cell shown
! * N(E_F): 4.4 states/eV/cell
! * density: 13.21 g/cm3
! * formation energy: 69.3 meV per atom
! * distance to the lowest polymorph of the same formula: 12 meV per atom
! * SG: No. 119
! * spin magnetization: 0.339 μB per atom
! * crystal system: tetragonal
&SYSTEM
  ibrav = 0, nat = 4, ntyp = 3
/
ATOMIC_SPECIES
Mn 54.94 Mn.upf
Os 190.23 Os.upf
Tc 98.00 Tc.upf
CELL_PARAMETERS angstrom
4.651 -0.014 0.000
1.510 4.399 0.000
-3.081 -2.193 2.708
ATOMIC_POSITIONS crystal
Mn 0.500 0.500 0.000
Os 0.750 0.250 0.500
Tc 0.250 0.750 0.500
Tc 0.000 0.000 0.000